Entry 1:
3
Lattice="1.2982 0.7495 6.1528 -1.2982 0.7495 6.1528 0.0000 -1.4990 6.1528" Properties=species:S:1:pos:R:3 comment="ZnCu2 (GGA-PBEsol, optimized geometry)" dos_ef_per_ev_cell=0.75 space_group="R3m (160)" formation_enthalpy_0k_ev_per_atom=-0.04 pbc="T T T"
Zn 0.0000 0.0000 0.0000
Cu 0.0000 0.0000 4.0785
Cu 0.0000 0.0000 8.2309

Entry 2:
6
Lattice="4.3948 0.0000 0.0000 -2.1974 3.8060 0.0000 0.0000 0.0000 4.1530" Properties=species:S:1:pos:R:3 comment="ZnCu5 (GGA-PBEsol, optimized geometry)" dos_ef_per_ev_cell=1.88 space_group="P-62m (189)" formation_enthalpy_0k_ev_per_atom=-0.05 pbc="T T T"
Zn 0.0000 0.0000 0.0000
Cu -1.4574 2.5243 2.0765
Cu 0.0000 2.5374 0.0000
Cu 0.7400 1.2817 2.0765
Cu 2.9148 0.0000 2.0765
Cu 2.1974 1.2687 0.0000

no.,E_tot (eV per atom)
1,-3.457
2,-3.921